1.
# MnSbSe2

A relaxed MnSbSe2 crystal (PBE, Alexandria via LeMat-Bulk).

Results
Energy relative to the elements, uncorrected: -0.689 eV/f.u.
V: 190 Å³/cell

Cell: 5.3291 6.3558 6.9486 Å, 62.79 79.43 65.41°
Closest atoms and distances in Å follow each position.
Space group P1 (No. 1)
Inequivalent atoms, fractional coordinates:
Mn 0.0000 0.0000 0.0000 [1 per cell]  4 Se 2.37-2.45, 1 Mn 2.61
Mn 0.4895 0.0011 0.9998 [1 per cell]  4 Se 2.37-2.45, 1 Mn 2.61
Sb 0.5714 0.4421 0.7973 [1 per cell]  2 Mn 2.69-2.70, 1 Se 2.82
Sb 0.9140 0.7633 0.7968 [1 per cell]  2 Mn 2.69-2.71, 1 Se 2.83
Se 0.0829 0.2602 0.1296 [1 per cell]  2 Mn 2.42-2.43
Se 0.2414 0.1692 0.6640 [1 per cell]  2 Mn 2.45
Se 0.4096 0.6098 0.1296 [1 per cell]  2 Mn 2.42-2.43
Se 0.7485 0.8409 0.3150 [1 per cell]  2 Mn 2.37

2.
# MnSbSe2

A relaxed MnSbSe2 crystal (PBE, Alexandria via LeMat-Bulk).

Results
Energy relative to the elements, uncorrected: 1.673 eV/f.u.
V: 333 Å³/cell

Cell: 6.9319 6.9319 6.9319 Å, 90.00 90.00 90.00°
Closest atoms and distances in Å follow each position.
Space group F-43m (No. 216)
Inequivalent atoms, fractional coordinates:
Mn 0.0000 0.0000 0.0000 [4 per cell]  4 Sb 3.00, 4 Se 3.00
Sb 0.2500 0.2500 0.7500 [4 per cell]  4 Mn 3.00, 4 Se 3.00
Se 0.0000 0.0000 0.5000 [4 per cell]  4 Se 3.00, 4 Sb 3.00
Se 0.2500 0.2500 0.2500 [4 per cell]  4 Mn 3.00, 4 Se 3.00

3.
# Mn5Sb3Se12

A relaxed Mn5Sb3Se12 crystal (PBE, Alexandria via LeMat-Bulk).

Results
Energy relative to the elements, uncorrected: -4.816 eV/f.u.
V: 3933 Å³/cell

Cell: 15.7854 15.7854 15.7854 Å, 90.00 90.00 90.00°
Closest atoms and distances in Å follow each position.
Space group Ia-3d (No. 230)
Inequivalent atoms, fractional coordinates:
Mn 0.0000 0.0000 0.0000 [16 per cell]  6 Se 2.55
Mn 0.0000 0.2500 0.3750 [24 per cell]  4 Se 2.41
Sb 0.0000 0.2500 0.1250 [24 per cell]  8 Se 3.02-3.09
Se 0.0264 0.0576 0.6485 [96 per cell]  2 Mn 2.41-2.55

4.
# MnSbSe2

A relaxed MnSbSe2 crystal (PBE, Alexandria via LeMat-Bulk).

Results
Energy relative to the elements, uncorrected: 0.334 eV/f.u.
V: 98 Å³/cell

Cell: 3.6905 3.6905 8.3095 Å, 90.00 90.00 120.00°
Closest atoms and distances in Å follow each position.
Space group P3m1 (No. 156)
Inequivalent atoms, fractional coordinates:
Mn 0.0000 0.0000 0.0000 [1 per cell]  4 Se 2.27-2.28
Sb 0.6667 0.3333 0.4943 [1 per cell]  3 Se 2.82
Se 0.0000 0.0000 0.2727 [1 per cell]  1 Mn 2.27
Se 0.3333 0.6667 0.9040 [1 per cell]  3 Mn 2.28

5.
# MnSbSe2

A relaxed MnSbSe2 crystal (PBE, Alexandria via LeMat-Bulk).

Results
Energy relative to the elements, uncorrected: -1.013 eV/f.u.
V: 287 Å³/cell

Cell: 3.5796 3.5796 25.8353 Å, 90.00 90.00 120.00°
Closest atoms and distances in Å follow each position.
Space group R-3m (No. 166, hexagonal axes)
Inequivalent atoms, fractional coordinates:
Mn 0.0000 0.0000 0.0000 [3 per cell]  6 Se 2.51
Sb 0.0000 0.0000 0.5000 [3 per cell]  2 Se 2.88
Se 0.0000 0.0000 0.3887 [6 per cell]  3 Mn 2.51

6.
# MnSbSe2

A relaxed MnSbSe2 crystal (PBE, Alexandria via LeMat-Bulk).

Results
Energy relative to the elements, uncorrected: -0.825 eV/f.u.
V: 189 Å³/cell

Cell: 4.9605 6.6682 6.6684 Å, 67.02 72.02 71.94°
Closest atoms and distances in Å follow each position.
Space group P1 (No. 1)
Inequivalent atoms, fractional coordinates:
Mn 0.0000 0.0000 0.0000 [1 per cell]  4 Se 2.46-2.51, 1 Mn 2.64, 2 Sb 2.67-2.68
Mn 0.4478 0.7780 0.7778 [1 per cell]  4 Se 2.43-2.49, 1 Mn 2.64, 2 Sb 2.65
Sb 0.8797 0.9092 0.4421 [1 per cell]  2 Mn 2.65-2.68, 2 Se 2.72-2.73
Sb 0.8806 0.4422 0.9090 [1 per cell]  2 Mn 2.65-2.67, 2 Se 2.72-2.73
Se 0.1347 0.1180 0.5892 [1 per cell]  2 Mn 2.44-2.47, 1 Sb 2.72
Se 0.1362 0.5889 0.1176 [1 per cell]  2 Mn 2.43-2.47, 1 Sb 2.72
Se 0.3379 0.5771 0.5771 [1 per cell]  1 Mn 2.49, 2 Sb 2.73
Se 0.5069 0.9852 0.9859 [1 per cell]  3 Mn 2.43-2.51

> What is the formula in the second record?

MnSbSe2